# YMn2Ru (PBE, relaxed)
# distance to the lowest polymorph of the same formula	0.1862	eV per atom
# size of the total moment	8.66	μB per formula unit
# crystal system	tetragonal
# formation energy from the elements	273	meV/atom
data_YMn2Ru
_chemical_formula_sum 'Y2 Mn4 Ru2'
_cell_length_a 4.1317
_cell_length_b 4.1317
_cell_length_c 8.2735
_cell_angle_alpha 90.00
_cell_angle_beta 90.00
_cell_angle_gamma 90.00
_symmetry_space_group_name_H-M 'I 4/m m m'
_symmetry_Int_Tables_number 139
_symmetry_space_group_name_Hall '-I 4 2'
loop_
_atom_site_label
_atom_site_type_symbol
_atom_site_fract_x
_atom_site_fract_y
_atom_site_fract_z
_atom_site_occupancy
Y1 Y 0.0000 0.0000 0.0000 1
Mn1 Mn 0.0000 0.5000 0.2500 1
Ru1 Ru 0.0000 0.0000 0.5000 1